*P*
! Ca2CrBiSe, relaxed, DFT PBE-GGA; values from VASP
&SYSTEM
  ibrav = 0, nat = 5, ntyp = 4
/
ATOMIC_SPECIES
Ca 40.08 Ca.upf
Cr 52.00 Cr.upf
Bi 208.98 Bi.upf
Se 78.96 Se.upf
ATOMIC_POSITIONS crystal
Ca 0.000 0.500 0.000
Ca 0.500 0.000 0.000
Cr 0.000 0.000 0.500
Bi 0.500 0.500 0.500
Se 0.000 0.000 0.000
CELL_PARAMETERS angstrom
5.548 0.000 0.000
0.000 5.548 0.000
0.000 0.000 4.878
! Density   4.6 Mg/m³

*Q*
! Ca2CrBiSe, relaxed, DFT PBE-GGA; values from VASP
&SYSTEM
  ibrav = 0, nat = 5, ntyp = 4
/
ATOMIC_SPECIES
Ca 40.08 Ca.upf
Cr 52.00 Cr.upf
Bi 208.98 Bi.upf
Se 78.96 Se.upf
ATOMIC_POSITIONS crystal
Ca 0.000 0.500 0.000
Ca 0.500 0.000 0.000
Cr 0.000 0.000 0.000
Bi 0.500 0.500 0.500
Se 0.000 0.000 0.500
CELL_PARAMETERS angstrom
5.973 0.000 0.000
0.000 5.973 0.000
0.000 0.000 4.446
! Density   4.4 Mg/m³

The relative energies come out as *P* 0.000; *Q* 0.443, with values in eV/atom.

*P*
! CsCa3Bi, relaxed, DFT PBE-GGA; values from VASP
&SYSTEM
  ibrav = 0, nat = 5, ntyp = 3
/
ATOMIC_SPECIES
Cs 132.91 Cs.upf
Ca 40.08 Ca.upf
Bi 208.98 Bi.upf
ATOMIC_POSITIONS crystal
Cs 0.000 0.000 0.000
Ca 0.000 0.000 0.500
Ca 0.000 0.500 0.000
Ca 0.500 0.000 0.000
Bi 0.500 0.500 0.500
CELL_PARAMETERS angstrom
5.833 0.000 0.000
0.000 5.833 0.000
0.000 0.000 5.833
! Density   3.9 Mg/m³

*Q*
! CsCa3Bi, relaxed, DFT PBE-GGA; values from VASP
&SYSTEM
  ibrav = 0, nat = 5, ntyp = 3
/
ATOMIC_SPECIES
Cs 132.91 Cs.upf
Ca 40.08 Ca.upf
Bi 208.98 Bi.upf
ATOMIC_POSITIONS crystal
Cs 0.000 0.000 0.000
Ca 0.000 0.500 0.500
Ca 0.500 0.000 0.500
Ca 0.500 0.500 0.000
Bi 0.500 0.500 0.500
CELL_PARAMETERS angstrom
6.351 0.000 0.000
0.000 6.351 0.000
0.000 0.000 6.351
! Density   3.0 Mg/m³

The relative energies come out as *P* 1.056; *Q* 0.000, with values in eV/atom.

*P*
! CsNa2CaBi, relaxed, DFT PBE-GGA; values from VASP
&SYSTEM
  ibrav = 0, nat = 5, ntyp = 4
/
ATOMIC_SPECIES
Cs 132.91 Cs.upf
Na 22.99 Na.upf
Ca 40.08 Ca.upf
Bi 208.98 Bi.upf
ATOMIC_POSITIONS crystal
Cs 0.000 0.000 0.000
Na 0.000 0.500 0.500
Na 0.500 0.000 0.500
Ca 0.000 0.000 0.500
Bi 0.500 0.500 0.000
CELL_PARAMETERS angstrom
6.257 0.000 0.000
0.000 6.257 0.000
0.000 0.000 7.058
! Density   2.6 Mg/m³

*Q*
! CsNa2CaBi, relaxed, DFT PBE-GGA; values from VASP
&SYSTEM
  ibrav = 0, nat = 5, ntyp = 4
/
ATOMIC_SPECIES
Cs 132.91 Cs.upf
Na 22.99 Na.upf
Ca 40.08 Ca.upf
Bi 208.98 Bi.upf
ATOMIC_POSITIONS crystal
Cs 0.000 0.000 0.000
Na 0.000 0.500 0.500
Na 0.500 0.000 0.500
Ca 0.500 0.500 0.000
Bi 0.500 0.500 0.500
CELL_PARAMETERS angstrom
6.385 0.000 0.000
0.000 6.385 0.000
0.000 0.000 6.222
! Density   2.8 Mg/m³

The relative energies come out as *P* 0.791; *Q* 0.000, with values in eV/atom.

*P*
! CaCuBi3, relaxed, DFT PBE-GGA; values from VASP
&SYSTEM
  ibrav = 0, nat = 5, ntyp = 3
/
ATOMIC_SPECIES
Ca 40.08 Ca.upf
Cu 63.55 Cu.upf
Bi 208.98 Bi.upf
ATOMIC_POSITIONS crystal
Ca 0.000 0.000 0.000
Cu 0.500 0.500 0.500
Bi 0.000 0.500 0.500
Bi 0.500 0.000 0.500
Bi 0.500 0.500 0.000
CELL_PARAMETERS angstrom
5.356 0.000 0.000
0.000 5.356 0.000
0.000 0.000 5.356
! Density   7.9 Mg/m³

*Q*
! CaCuBi3, relaxed, DFT PBE-GGA; values from VASP
&SYSTEM
  ibrav = 0, nat = 5, ntyp = 3
/
ATOMIC_SPECIES
Ca 40.08 Ca.upf
Cu 63.55 Cu.upf
Bi 208.98 Bi.upf
ATOMIC_POSITIONS crystal
Ca 0.000 0.000 0.000
Cu 0.500 0.500 0.500
Bi 0.000 0.000 0.500
Bi 0.000 0.500 0.000
Bi 0.500 0.000 0.000
CELL_PARAMETERS angstrom
5.792 0.000 0.000
0.000 5.792 0.000
0.000 0.000 5.792
! Density   6.2 Mg/m³

The relative energies come out as *P* 0.000; *Q* 0.879, with values in eV/atom.

*P*
! Ca3CuBi, relaxed, DFT PBE-GGA; values from VASP
&SYSTEM
  ibrav = 0, nat = 5, ntyp = 3
/
ATOMIC_SPECIES
Ca 40.08 Ca.upf
Cu 63.55 Cu.upf
Bi 208.98 Bi.upf
ATOMIC_POSITIONS crystal
Ca 0.000 0.000 0.500
Ca 0.000 0.500 0.000
Ca 0.500 0.000 0.000
Cu 0.000 0.000 0.000
Bi 0.500 0.500 0.500
CELL_PARAMETERS angstrom
5.461 0.000 0.000
0.000 5.461 0.000
0.000 0.000 5.461
! Density   4.0 Mg/m³

*Q*
! Ca3CuBi, relaxed, DFT PBE-GGA; values from VASP
&SYSTEM
  ibrav = 0, nat = 5, ntyp = 3
/
ATOMIC_SPECIES
Ca 40.08 Ca.upf
Cu 63.55 Cu.upf
Bi 208.98 Bi.upf
ATOMIC_POSITIONS crystal
Ca 0.000 0.000 0.500
Ca 0.000 0.500 0.000
Ca 0.500 0.000 0.000
Cu 0.500 0.500 0.500
Bi 0.000 0.000 0.000
CELL_PARAMETERS angstrom
5.979 0.000 0.000
0.000 5.979 0.000
0.000 0.000 5.979
! Density   3.1 Mg/m³

The relative energies come out as *P* 0.000; *Q* 0.372, with values in eV/atom.

*P*
! CaErBi2, relaxed, DFT PBE-GGA; values from VASP
&SYSTEM
  ibrav = 0, nat = 4, ntyp = 3
/
ATOMIC_SPECIES
Ca 40.08 Ca.upf
Er 167.26 Er.upf
Bi 208.98 Bi.upf
ATOMIC_POSITIONS crystal
Ca 0.000 0.000 0.000
Er 0.000 0.000 0.500
Bi 0.500 0.500 0.262
Bi 0.500 0.500 0.738
CELL_PARAMETERS angstrom
4.109 0.000 0.000
0.000 4.109 0.000
0.000 0.000 7.124
! Density   8.6 Mg/m³

*Q*
! CaErBi2, relaxed, DFT PBE-GGA; values from VASP
&SYSTEM
  ibrav = 0, nat = 4, ntyp = 3
/
ATOMIC_SPECIES
Ca 40.08 Ca.upf
Er 167.26 Er.upf
Bi 208.98 Bi.upf
ATOMIC_POSITIONS crystal
Ca 0.000 0.000 0.000
Er 0.500 0.500 0.000
Bi 0.000 0.500 0.500
Bi 0.500 0.000 0.500
CELL_PARAMETERS angstrom
5.401 0.000 0.000
0.000 5.401 0.000
0.000 0.000 4.130
! Density   8.6 Mg/m³

*R*
! CaErBi2, relaxed, DFT PBE-GGA; values from VASP
&SYSTEM
  ibrav = 0, nat = 12, ntyp = 3
/
ATOMIC_SPECIES
Ca 40.08 Ca.upf
Er 167.26 Er.upf
Bi 208.98 Bi.upf
ATOMIC_POSITIONS crystal
Ca 0.000 0.000 0.000
Ca 0.333 0.667 0.667
Ca 0.667 0.333 0.333
Er 0.000 0.000 0.827
Er 0.333 0.667 0.493
Er 0.667 0.333 0.160
Bi 0.000 0.000 0.417
Bi 0.000 0.000 0.578
Bi 0.333 0.667 0.084
Bi 0.333 0.667 0.244
Bi 0.667 0.333 0.751
Bi 0.667 0.333 0.911
CELL_PARAMETERS angstrom
4.673 0.000 0.000
-2.337 4.047 0.000
0.000 0.000 21.546
! Density   7.6 Mg/m³

*S*
! CaErBi2, relaxed, DFT PBE-GGA; values from VASP
&SYSTEM
  ibrav = 0, nat = 8, ntyp = 3
/
ATOMIC_SPECIES
Ca 40.08 Ca.upf
Er 167.26 Er.upf
Bi 208.98 Bi.upf
ATOMIC_POSITIONS crystal
Ca 0.000 0.000 0.000
Ca 0.500 0.500 0.000
Er 0.000 0.500 0.500
Er 0.500 0.000 0.500
Bi 0.246 0.000 0.737
Bi 0.254 0.500 0.263
Bi 0.746 0.500 0.737
Bi 0.754 0.000 0.263
CELL_PARAMETERS angstrom
7.634 0.000 0.000
0.000 4.417 0.000
-2.555 0.000 7.801
! Density   7.9 Mg/m³

The relative energies come out as *P* 0.090; *Q* 0.115; *R* 0.080; *S* 0.000, with values in eV/atom.

*P*
! CaEu2Bi, relaxed, DFT PBE-GGA; values from VASP
&SYSTEM
  ibrav = 0, nat = 12, ntyp = 3
/
ATOMIC_SPECIES
Ca 40.08 Ca.upf
Eu 151.96 Eu.upf
Bi 208.98 Bi.upf
ATOMIC_POSITIONS crystal
Ca 0.000 0.000 0.000
Ca 0.333 0.667 0.667
Ca 0.667 0.333 0.333
Eu 0.000 0.000 0.229
Eu 0.000 0.000 0.771
Eu 0.333 0.667 0.438
Eu 0.333 0.667 0.895
Eu 0.667 0.333 0.105
Eu 0.667 0.333 0.562
Bi 0.000 0.000 0.500
Bi 0.333 0.667 0.167
Bi 0.667 0.333 0.833
CELL_PARAMETERS angstrom
4.522 0.000 0.000
-2.261 3.917 0.000
0.000 0.000 30.426
! Density   5.1 Mg/m³

*Q*
! CaEu2Bi, relaxed, DFT PBE-GGA; values from VASP
&SYSTEM
  ibrav = 0, nat = 4, ntyp = 3
/
ATOMIC_SPECIES
Ca 40.08 Ca.upf
Eu 151.96 Eu.upf
Bi 208.98 Bi.upf
ATOMIC_POSITIONS crystal
Ca 0.000 0.000 0.000
Eu 0.500 0.500 0.284
Eu 0.500 0.500 0.716
Bi 0.000 0.000 0.500
CELL_PARAMETERS angstrom
4.417 0.000 0.000
0.000 4.417 0.000
0.000 0.000 7.409
! Density   6.4 Mg/m³

*R*
! CaEu2Bi, relaxed, DFT PBE-GGA; values from VASP
&SYSTEM
  ibrav = 0, nat = 4, ntyp = 3
/
ATOMIC_SPECIES
Ca 40.08 Ca.upf
Eu 151.96 Eu.upf
Bi 208.98 Bi.upf
ATOMIC_POSITIONS crystal
Ca 0.000 0.000 0.000
Eu 0.000 0.500 0.500
Eu 0.500 0.000 0.500
Bi 0.500 0.500 0.000
CELL_PARAMETERS angstrom
5.173 0.000 0.000
0.000 5.173 0.000
0.000 0.000 5.131
! Density   6.7 Mg/m³

The relative energies come out as *P* 0.188; *Q* 0.027; *R* 0.000, with values in eV/atom.

*P*
! SrCaEuBiO6, relaxed, DFT PBE-GGA; values from VASP
&SYSTEM
  ibrav = 0, nat = 10, ntyp = 5
/
ATOMIC_SPECIES
Sr 87.62 Sr.upf
Ca 40.08 Ca.upf
Eu 151.96 Eu.upf
Bi 208.98 Bi.upf
O 16.00 O.upf
ATOMIC_POSITIONS crystal
Sr 0.000 0.000 0.000
Ca 0.500 0.500 0.500
Eu 0.750 0.750 0.750
Bi 0.250 0.250 0.250
O 0.007 0.007 0.493
O 0.007 0.493 0.007
O 0.007 0.493 0.493
O 0.493 0.007 0.007
O 0.493 0.007 0.493
O 0.493 0.493 0.007
CELL_PARAMETERS angstrom
0.000 4.323 4.323
4.323 0.000 4.323
4.323 4.323 0.000
! Density   6.0 Mg/m³

*Q*
! SrCaEuBiO6, relaxed, DFT PBE-GGA; values from VASP
&SYSTEM
  ibrav = 0, nat = 20, ntyp = 5
/
ATOMIC_SPECIES
Sr 87.62 Sr.upf
Ca 40.08 Ca.upf
Eu 151.96 Eu.upf
Bi 208.98 Bi.upf
O 16.00 O.upf
ATOMIC_POSITIONS crystal
Sr 0.000 0.000 0.000
Sr 0.500 0.500 0.000
Ca 0.000 0.000 0.500
Ca 0.500 0.500 0.500
Eu 0.000 0.500 0.252
Eu 0.500 0.000 0.748
Bi 0.000 0.500 0.745
Bi 0.500 0.000 0.255
O 0.000 0.500 0.505
O 0.000 0.500 0.991
O 0.159 0.821 0.742
O 0.179 0.841 0.258
O 0.321 0.341 0.742
O 0.341 0.321 0.258
O 0.500 0.000 0.009
O 0.500 0.000 0.495
O 0.659 0.679 0.258
O 0.679 0.659 0.742
O 0.821 0.159 0.258
O 0.841 0.179 0.742
CELL_PARAMETERS angstrom
5.978 0.000 0.000
0.000 5.978 0.000
0.000 0.000 8.694
! Density   6.2 Mg/m³

The relative energies come out as *P* 0.111; *Q* 0.000, with values in eV/atom.

*P*
! CaBiF2, relaxed, DFT PBE-GGA; values from VASP
&SYSTEM
  ibrav = 0, nat = 16, ntyp = 3
/
ATOMIC_SPECIES
Ca 40.08 Ca.upf
Bi 208.98 Bi.upf
F 19.00 F.upf
ATOMIC_POSITIONS crystal
Ca 0.000 0.000 0.000
Ca 0.000 0.500 0.250
Ca 0.500 0.000 0.750
Ca 0.500 0.500 0.500
Bi 0.000 0.000 0.500
Bi 0.000 0.500 0.750
Bi 0.500 0.000 0.250
Bi 0.500 0.500 0.000
F 0.114 0.250 0.125
F 0.250 0.614 0.375
F 0.250 0.886 0.875
F 0.386 0.250 0.625
F 0.614 0.750 0.625
F 0.750 0.114 0.875
F 0.750 0.386 0.375
F 0.886 0.750 0.125
CELL_PARAMETERS angstrom
6.456 0.000 0.000
0.000 6.456 0.000
0.000 0.000 9.483
! Density   4.8 Mg/m³

*Q*
! CaBiF2, relaxed, DFT PBE-GGA; values from VASP
&SYSTEM
  ibrav = 0, nat = 12, ntyp = 3
/
ATOMIC_SPECIES
Ca 40.08 Ca.upf
Bi 208.98 Bi.upf
F 19.00 F.upf
ATOMIC_POSITIONS crystal
Ca 0.000 0.000 0.000
Ca 0.333 0.667 0.667
Ca 0.667 0.333 0.333
Bi 0.000 0.000 0.500
Bi 0.333 0.667 0.167
Bi 0.667 0.333 0.833
F 0.000 0.000 0.369
F 0.000 0.000 0.631
F 0.333 0.667 0.036
F 0.333 0.667 0.298
F 0.667 0.333 0.702
F 0.667 0.333 0.964
CELL_PARAMETERS angstrom
3.487 0.000 0.000
-1.744 3.020 0.000
0.000 0.000 28.496
! Density   4.8 Mg/m³

*R*
! CaBiF2, relaxed, DFT PBE-GGA; values from VASP
&SYSTEM
  ibrav = 0, nat = 16, ntyp = 3
/
ATOMIC_SPECIES
Ca 40.08 Ca.upf
Bi 208.98 Bi.upf
F 19.00 F.upf
ATOMIC_POSITIONS crystal
Ca 0.000 0.000 0.000
Ca 0.000 0.500 0.500
Ca 0.500 0.000 0.500
Ca 0.500 0.500 0.000
Bi 0.000 0.000 0.500
Bi 0.000 0.500 0.000
Bi 0.500 0.000 0.000
Bi 0.500 0.500 0.500
F 0.250 0.250 0.250
F 0.250 0.250 0.750
F 0.250 0.750 0.250
F 0.250 0.750 0.750
F 0.750 0.250 0.250
F 0.750 0.250 0.750
F 0.750 0.750 0.250
F 0.750 0.750 0.750
CELL_PARAMETERS angstrom
6.738 0.000 0.000
0.000 6.738 0.000
0.000 0.000 6.738
! Density   6.2 Mg/m³

The relative energies come out as *P* 0.353; *Q* 0.000; *R* 1.051, with values in eV/atom.

*P*
! Ca2BiF, relaxed, DFT PBE-GGA; values from VASP
&SYSTEM
  ibrav = 0, nat = 16, ntyp = 3
/
ATOMIC_SPECIES
Ca 40.08 Ca.upf
Bi 208.98 Bi.upf
F 19.00 F.upf
ATOMIC_POSITIONS crystal
Ca 0.250 0.250 0.250
Ca 0.250 0.250 0.750
Ca 0.250 0.750 0.250
Ca 0.250 0.750 0.750
Ca 0.750 0.250 0.250
Ca 0.750 0.250 0.750
Ca 0.750 0.750 0.250
Ca 0.750 0.750 0.750
Bi 0.000 0.000 0.000
Bi 0.000 0.500 0.500
Bi 0.500 0.000 0.500
Bi 0.500 0.500 0.000
F 0.000 0.000 0.500
F 0.000 0.500 0.000
F 0.500 0.000 0.000
F 0.500 0.500 0.500
CELL_PARAMETERS angstrom
7.462 0.000 0.000
0.000 7.462 0.000
0.000 0.000 7.462
! Density   4.9 Mg/m³

*Q*
! Ca2BiF, relaxed, DFT PBE-GGA; values from VASP
&SYSTEM
  ibrav = 0, nat = 12, ntyp = 3
/
ATOMIC_SPECIES
Ca 40.08 Ca.upf
Bi 208.98 Bi.upf
F 19.00 F.upf
ATOMIC_POSITIONS crystal
Ca 0.000 0.000 0.099
Ca 0.000 0.000 0.901
Ca 0.333 0.667 0.568
Ca 0.333 0.667 0.766
Ca 0.667 0.333 0.234
Ca 0.667 0.333 0.432
Bi 0.000 0.000 0.500
Bi 0.333 0.667 0.167
Bi 0.667 0.333 0.833
F 0.000 0.000 0.000
F 0.333 0.667 0.667
F 0.667 0.333 0.333
CELL_PARAMETERS angstrom
4.953 0.000 0.000
-2.476 4.289 0.000
0.000 0.000 21.666
! Density   3.3 Mg/m³

*R*
! Ca2BiF, relaxed, DFT PBE-GGA; values from VASP
&SYSTEM
  ibrav = 0, nat = 8, ntyp = 3
/
ATOMIC_SPECIES
Ca 40.08 Ca.upf
Bi 208.98 Bi.upf
F 19.00 F.upf
ATOMIC_POSITIONS crystal
Ca 0.250 0.250 0.150
Ca 0.250 0.750 0.500
Ca 0.750 0.250 0.500
Ca 0.750 0.750 0.850
Bi 0.250 0.250 0.785
Bi 0.750 0.750 0.215
F 0.250 0.250 0.418
F 0.750 0.750 0.582
CELL_PARAMETERS angstrom
4.726 0.000 0.000
0.000 4.726 0.000
0.000 0.000 8.925
! Density   5.1 Mg/m³

*S*
! Ca2BiF, relaxed, DFT PBE-GGA; values from VASP
&SYSTEM
  ibrav = 0, nat = 16, ntyp = 3
/
ATOMIC_SPECIES
Ca 40.08 Ca.upf
Bi 208.98 Bi.upf
F 19.00 F.upf
ATOMIC_POSITIONS crystal
Ca 0.044 0.241 0.383
Ca 0.044 0.259 0.883
Ca 0.358 0.506 0.221
Ca 0.358 0.994 0.721
Ca 0.642 0.006 0.279
Ca 0.642 0.494 0.779
Ca 0.956 0.741 0.117
Ca 0.956 0.759 0.617
Bi 0.283 0.511 0.689
Bi 0.283 0.989 0.189
Bi 0.717 0.011 0.811
Bi 0.717 0.489 0.311
F 0.099 0.045 0.658
F 0.099 0.455 0.158
F 0.901 0.545 0.842
F 0.901 0.955 0.342
CELL_PARAMETERS angstrom
9.114 0.000 0.000
0.000 6.736 0.000
-1.463 0.000 7.041
! Density   4.7 Mg/m³

The relative energies come out as *P* 0.433; *Q* 0.120; *R* 0.050; *S* 0.000, with values in eV/atom.